VASP calculation (PBE+U) on LiMoPdO4 after structural relaxation. Values from VASP.

Cell and atoms, written as Quantum ESPRESSO input:
```
&SYSTEM
  ibrav = 0, nat = 14, ntyp = 4
/
ATOMIC_SPECIES
Li 6.94 Li.upf
Mo 95.94 Mo.upf
Pd 106.42 Pd.upf
O 16.00 O.upf
CELL_PARAMETERS angstrom
-3.176 3.192 4.239
3.176 -3.192 4.239
3.176 3.192 -4.239
ATOMIC_POSITIONS angstrom
Li 0.000 1.596 1.119
Li 3.176 1.596 3.120
Mo 1.588 1.596 -2.119
Mo 1.588 -1.596 2.119
Pd 3.176 0.000 0.000
Pd 0.000 0.000 4.239
O 3.176 -0.187 2.053
O 3.176 3.005 -2.053
O 1.665 1.596 -0.099
O 4.687 1.596 -0.099
O -1.511 1.596 4.338
O 1.511 1.596 4.338
O 0.000 0.187 6.291
O 0.000 3.379 2.186
```

Density of states at the Fermi level (states/eV/atom): 0.27
VASP energy (hartree per atom): -0.2238